Entry from Alexandria via LeMat-Bulk: crystalline K2AgRhBr6 at its relaxed geometry (PBE-GGA).

Computed properties:
total moment = 0.0 μB/f.u.
DFT total energy = -94.310 eV per cell

a = 7.6286 Å, b = 7.6286 Å, c = 17.4882 Å
α = 90.00°, β = 90.00°, γ = 120.00°
Closest atoms and distances in Å follow each position.
Space group R3 (No. 146, hexagonal axes)
Asymmetric unit:
K: 0.0000 0.0000 0.0000  6 Br 3.29-3.62
K: 0.0000 0.0000 0.4979  6 Br 3.28-3.60
Ag: 0.0000 0.0000 0.2485  6 Br 2.85
Rh: 0.0000 0.0000 0.7486  6 Br 2.54
Br: 0.0276 0.4436 0.4978  1 Rh 2.54
Br: 0.1108 0.7494 0.3325  1 Rh 2.54